No. 1
A relaxed Cs3RbHg crystal. Source: the Alexandria database, functional PBE-GGA.

DFT formation energy	-81	meV/atom
calculated total energy	-4.23	eV/f.u.
space-group type	R3c
energy above the lowest structure with this stoichiometry	0.0192	eV/atom

Lattice parameters (Å, degrees): 9.919 9.919 9.919 70.45 70.45 70.45
Positions (direct):
1 Cs 0.091 0.963 0.587
2 Cs 0.463 0.591 0.087
3 Cs 0.087 0.463 0.591
4 Cs 0.591 0.087 0.463
5 Cs 0.963 0.587 0.091
6 Cs 0.587 0.091 0.963
7 Hg 0.260 0.260 0.260
8 Hg 0.760 0.760 0.760
9 Rb 0.080 0.080 0.080
10 Rb 0.580 0.580 0.580


No. 2
A relaxed CsRbHg2 crystal. Source: the Alexandria database, functional PBE-GGA.

DFT formation energy	-185	meV/atom
calculated total energy	-3.16	eV/f.u.
space-group type	P4/mmm
energy above the lowest structure with this stoichiometry	0.0621	eV/atom

Lattice parameters (Å, degrees): 4.510 6.432 6.432 90.00 90.00 90.00
Positions (direct):
1 Cs 0.500 0.500 0.500
2 Hg 0.000 0.000 0.500
3 Hg 0.000 0.500 0.000
4 Rb 0.500 0.000 0.000